No. 1
# GGA-PBE Sm2MgPt, relaxed
# **Relative energy among the computed polymorphs**: 0.448 eV per formula unit
# **Density**: 7104 kg/m3
# **Formation energy from the elements**: -499 meV per atom
data_Sm2MgPt
_symmetry_space_group_name_H-M 'R -3 m'
_symmetry_Int_Tables_number 166
_symmetry_space_group_name_Hall '-R 3 2"'
_cell_length_a 4.0800
_cell_length_b 4.0800
_cell_length_c 25.2988
_cell_angle_alpha 90.00
_cell_angle_beta 90.00
_cell_angle_gamma 120.00
loop_
_atom_site_label
_atom_site_type_symbol
_atom_site_fract_x
_atom_site_fract_y
_atom_site_fract_z
_atom_site_occupancy
Sm1 Sm 0.0000 0.0000 0.2305 1
Mg1 Mg 0.0000 0.0000 0.0000 1
Pt1 Pt 0.0000 0.0000 0.5000 1

No. 2
# GGA-PBE Rb2VIr, relaxed
# **Density**: 5639 kg/m3
# **Formation energy from the elements**: 1672 meV per atom
data_Rb2VIr
_symmetry_space_group_name_H-M 'F m -3 m'
_symmetry_Int_Tables_number 225
_symmetry_space_group_name_Hall '-F 4 2 3'
_cell_length_a 7.8719
_cell_length_b 7.8719
_cell_length_c 7.8719
_cell_angle_alpha 90.00
_cell_angle_beta 90.00
_cell_angle_gamma 90.00
loop_
_atom_site_label
_atom_site_type_symbol
_atom_site_fract_x
_atom_site_fract_y
_atom_site_fract_z
_atom_site_occupancy
Rb1 Rb 0.2500 0.2500 0.2500 1
V1 V 0.0000 0.0000 0.0000 1
Ir1 Ir 0.0000 0.0000 0.5000 1

No. 3
# GGA-PBE SmYBiAs, relaxed
# **Density**: 7510 kg/m3
# **Formation energy from the elements**: -1203 meV per atom
data_SmYBiAs
_symmetry_space_group_name_H-M 'R 3 m'
_symmetry_Int_Tables_number 160
_symmetry_space_group_name_Hall 'R 3 -2"'
_cell_length_a 4.3089
_cell_length_b 4.3089
_cell_length_c 21.5818
_cell_angle_alpha 90.00
_cell_angle_beta 90.00
_cell_angle_gamma 120.00
loop_
_atom_site_label
_atom_site_type_symbol
_atom_site_fract_x
_atom_site_fract_y
_atom_site_fract_z
_atom_site_occupancy
Sm1 Sm 0.0000 0.0000 0.0000 1
Y1 Y 0.0000 0.0000 0.5156 1
Bi1 Bi 0.0000 0.0000 0.7596 1
As1 As 0.0000 0.0000 0.2563 1

No. 4
# GGA-PBE Rb2HgPdI6, relaxed
# **Density**: 4791 kg/m3
# **ΔE_f (raw)**: -0.7226 eV per atom
data_Rb2HgPdI6
_symmetry_space_group_name_H-M 'I 4/m m m'
_symmetry_Int_Tables_number 139
_symmetry_space_group_name_Hall '-I 4 2'
_cell_length_a 8.5501
_cell_length_b 8.5501
_cell_length_c 11.7511
_cell_angle_alpha 90.00
_cell_angle_beta 90.00
_cell_angle_gamma 90.00
loop_
_atom_site_label
_atom_site_type_symbol
_atom_site_fract_x
_atom_site_fract_y
_atom_site_fract_z
_atom_site_occupancy
Rb1 Rb 0.0000 0.5000 0.2500 1
Hg1 Hg 0.0000 0.0000 0.0000 1
Pd1 Pd 0.0000 0.0000 0.5000 1
I1 I 0.0000 0.0000 0.2313 1
I2 I 0.2213 0.2213 0.5000 1

No. 5
# GGA-PBE Hg2GeOsI, relaxed
# **Density**: 8285 kg/m3
# **ΔE_f (raw)**: 1.4480 eV per atom
data_Hg2GeOsI
_symmetry_space_group_name_H-M 'P 4/m m m'
_symmetry_Int_Tables_number 123
_symmetry_space_group_name_Hall '-P 4 2'
_cell_length_a 5.2684
_cell_length_b 5.2684
_cell_length_c 5.7116
_cell_angle_alpha 90.00
_cell_angle_beta 90.00
_cell_angle_gamma 90.00
loop_
_atom_site_label
_atom_site_type_symbol
_atom_site_fract_x
_atom_site_fract_y
_atom_site_fract_z
_atom_site_occupancy
Hg1 Hg 0.0000 0.5000 0.0000 1
Ge1 Ge 0.0000 0.0000 0.0000 1
Os1 Os 0.5000 0.5000 0.5000 1
I1 I 0.0000 0.0000 0.5000 1

No. 6
# GGA-PBE CaMn2W, relaxed
# **Relative energy among the computed polymorphs**: 1.943 eV per formula unit
# **Density**: 8201 kg/m3
# **Formation energy from the elements**: 875 meV per atom
data_CaMn2W
_symmetry_space_group_name_H-M 'I -4 m 2'
_symmetry_Int_Tables_number 119
_symmetry_space_group_name_Hall 'I -4 -2'
_cell_length_a 3.8326
_cell_length_b 3.8326
_cell_length_c 9.2024
_cell_angle_alpha 90.00
_cell_angle_beta 90.00
_cell_angle_gamma 90.00
loop_
_atom_site_label
_atom_site_type_symbol
_atom_site_fract_x
_atom_site_fract_y
_atom_site_fract_z
_atom_site_occupancy
Ca1 Ca 0.0000 0.0000 0.0000 1
Mn1 Mn 0.0000 0.0000 0.5000 1
Mn2 Mn 0.0000 0.5000 0.7500 1
W1 W 0.0000 0.5000 0.2500 1

| no. | total moment (μB/f.u.) |
| --- | --- |
| 1 | 0.00 |
| 2 | 3.98 |
| 3 | 0.00 |
| 4 | 0.00 |
| 5 | 3.70 |
| 6 | 4.51 |